# 1
SmDyFe2Si2: optimized geometry, PBE.

Geometry as extended XYZ:
```
6
Lattice="4.0407 0.0000 0.0000 0.0000 4.0407 0.0000 0.0000 0.0000 6.6072" Properties=species:S:1:pos:R:3 pbc="T T T"
Dy 0.0000 0.0000 2.0546
Fe 2.0204 0.0000 0.0233
Fe 0.0000 2.0204 0.0233
Si 2.0204 2.0204 1.1709
Si 0.0000 0.0000 5.4683
Sm 2.0204 2.0204 4.4740
```

Results
The total energy is -40.5 eV for the cell shown.

# 2
DyTmFe2Si2: optimized geometry, PBE.

Geometry as extended XYZ:
```
6
Lattice="-3.4084 2.0236 0.6866 -0.4490 -1.9419 3.4944 3.3290 4.5955 2.9814" Properties=species:S:1:pos:R:3 pbc="T T T"
Dy 1.0616 1.4655 0.9508
Fe 1.6176 5.5973 3.3183
Fe 3.0973 3.6146 4.7222
Si -1.3259 0.8730 2.6304
Si 2.7189 3.7533 2.4350
Tm 0.3605 3.2009 4.1406
```

Results
The total energy is -40.4 eV for the cell shown.